# 1
MnFePt: optimized geometry, PBE.

Output
Energy of formation in meV/atom: -111
Mass density in g cm⁻³: 12.7

a = 4.1761 Å, b = 4.1761 Å, c = 2.6498 Å
α = 90.00°, β = 90.00°, γ = 120.00°
Fractional coordinates of all 3 atoms:
Mn1 0.0000 0.0000 0.0000
Fe1 0.3333 0.6667 0.0000
Pt1 0.6667 0.3333 0.5000



# 2
TeSCl2O: optimized geometry, PBE.

Output
E_form (uncorrected) in eV/atom: 0.669
Energy above the lowest structure with this stoichiometry in meV/atom: 0
Mass density in g cm⁻³: 4.5

a = 4.5491 Å, b = 4.5491 Å, c = 4.4261 Å
α = 90.00°, β = 90.00°, γ = 90.00°
Fractional coordinates of all 5 atoms:
Te1 0.0000 0.0000 0.0000
S1 0.5000 0.5000 0.0000
Cl1 0.0000 0.5000 0.5000
Cl2 0.5000 0.0000 0.5000
O1 0.5000 0.5000 0.5000



# 3
SrTaHg: optimized geometry, PBE.

Output
Energy above the lowest structure with this stoichiometry in meV/atom: 61
Energy of formation in meV/atom: 596
Mass density in g cm⁻³: 9.8

a = 6.5286 Å, b = 6.5286 Å, c = 6.5286 Å
α = 152.26°, β = 142.03°, γ = 47.67°
Fractional coordinates of all 3 atoms:
Sr1 0.0000 0.0000 0.0000
Ta1 0.7098 0.7098 0.0000
Hg1 0.3047 0.3047 0.0000



# 4
Tb3Sm3Tm4: optimized geometry, PBE.

Output
Energy of formation in meV/atom: 91
Mass density in g cm⁻³: 8.2

a = 3.6486 Å, b = 9.4060 Å, c = 9.4060 Å
α = 89.90°, β = 90.00°, γ = 90.00°
Fractional coordinates of all 10 atoms:
Tb1 0.0000 0.0000 0.0000
Tb2 0.5000 0.3232 0.8266
Tb3 0.5000 0.8266 0.3232
Sm1 0.0000 0.1511 0.5000
Sm2 0.0000 0.5000 0.1511
Sm3 0.0000 0.6518 0.6518
Tm1 0.5000 0.2014 0.2014
Tm2 0.5000 0.4495 0.4495
Tm3 0.5000 0.7033 0.9502
Tm4 0.5000 0.9502 0.7033



# 5
K2ReO4: optimized geometry, PBE.

Output
E_form (uncorrected) in eV/atom: -1.721
Energy above the lowest structure with this stoichiometry in meV/atom: 0
Mass density in g cm⁻³: 5.2

a = 7.3461 Å, b = 7.3461 Å, c = 7.3461 Å
α = 148.87°, β = 148.87°, γ = 44.61°
Fractional coordinates of all 7 atoms:
K1 0.1543 0.1543 0.0000
K2 0.8457 0.8457 0.0000
Re1 0.5000 0.5000 0.0000
O1 0.0000 0.5000 0.5000
O2 0.3621 0.3621 0.0000
O3 0.5000 0.0000 0.5000
O4 0.6379 0.6379 0.0000



# 6
RuCl3: optimized geometry, PBE.

Output
E_form (uncorrected) in eV/atom: 0.715
Mass density in g cm⁻³: 4.5

a = 4.7758 Å, b = 4.7758 Å, c = 4.7758 Å
α = 60.00°, β = 60.00°, γ = 60.00°
Fractional coordinates of all 4 atoms:
Ru1 0.0000 0.0000 0.0000
Cl1 0.2500 0.2500 0.2500
Cl2 0.5000 0.5000 0.5000
Cl3 0.7500 0.7500 0.7500



# 7
CdRe2RuPb: optimized geometry, PBE.

Output
Energy above the lowest structure with this stoichiometry in meV/atom: 913
Energy of formation in meV/atom: 2611
Mass density in g cm⁻³: 11.1

a = 4.9247 Å, b = 4.9247 Å, c = 4.8725 Å
α = 90.00°, β = 90.00°, γ = 90.00°
Fractional coordinates of all 5 atoms:
Cd1 0.0000 0.0000 0.0000
Re1 0.0000 0.5000 0.0000
Re2 0.5000 0.0000 0.0000
Ru1 0.0000 0.0000 0.5000
Pb1 0.5000 0.5000 0.5000



# 8
Ti2HOsI: optimized geometry, PBE.

Output
Mass density in g cm⁻³: 8.1
Energy in eV per atom: -5.285

a = 5.0466 Å, b = 5.0466 Å, c = 3.3456 Å
α = 90.00°, β = 90.00°, γ = 90.00°
Fractional coordinates of all 5 atoms:
Ti1 0.0000 0.5000 0.0000
Ti2 0.5000 0.0000 0.0000
H1 0.0000 0.0000 0.5000
Os1 0.5000 0.5000 0.5000
I1 0.0000 0.0000 0.0000



# 9
InAgIr2: optimized geometry, PBE.

Output
Energy of formation in meV/atom: 219
Mass density in g cm⁻³: 14.8

a = 2.8682 Å, b = 2.8682 Å, c = 8.2778 Å
α = 90.00°, β = 90.00°, γ = 90.00°
Fractional coordinates of all 4 atoms:
In1 0.0000 0.0000 0.0000
Ag1 0.5000 0.5000 0.7189
Ir1 0.0000 0.0000 0.4636
Ir2 0.5000 0.5000 0.2521



# 10
NaSm2US6: optimized geometry, PBE.

Output
E_form (uncorrected) in eV/atom: -1.650
Mass density in g cm⁻³: 4.7

a = 7.4406 Å, b = 7.4406 Å, c = 7.4406 Å
α = 56.31°, β = 56.31°, γ = 56.31°
Fractional coordinates of all 10 atoms:
Na1 0.0000 0.0000 0.0000
Sm1 0.2049 0.2049 0.2049
Sm2 0.7172 0.7172 0.7172
U1 0.5178 0.5178 0.5178
S1 0.1398 0.4137 0.7802
S2 0.3302 0.9013 0.5916
S3 0.4137 0.7802 0.1398
S4 0.5916 0.3302 0.9013
S5 0.7802 0.1398 0.4137
S6 0.9013 0.5916 0.3302



# 11
TbPuRu: optimized geometry, PBE.

Output
Energy above the lowest structure with this stoichiometry in meV/atom: 166
Energy of formation in meV/atom: -23
Mass density in g cm⁻³: 12.6

a = 4.7212 Å, b = 4.7212 Å, c = 3.4476 Å
α = 90.00°, β = 90.00°, γ = 120.00°
Fractional coordinates of all 3 atoms:
Tb1 0.0000 0.0000 0.0000
Pu1 0.6667 0.3333 0.5000
Ru1 0.3333 0.6667 0.5000



# 12
Pd2Pb2I: optimized geometry, PBE.

Output
E_form (uncorrected) in eV/atom: -0.156
Energy above the lowest structure with this stoichiometry in meV/atom: 0
Mass density in g cm⁻³: 10.4

a = 7.9066 Å, b = 7.9066 Å, c = 3.8684 Å
α = 90.00°, β = 90.00°, γ = 90.00°
Fractional coordinates of all 10 atoms:
Pd1 0.1290 0.3710 0.0000
Pd2 0.3710 0.8710 0.0000
Pd3 0.6290 0.1290 0.0000
Pd4 0.8710 0.6290 0.0000
Pb1 0.1545 0.6545 0.5000
Pb2 0.3455 0.1545 0.5000
Pb3 0.6545 0.8455 0.5000
Pb4 0.8455 0.3455 0.5000
I1 0.0000 0.0000 0.0000
I2 0.5000 0.5000 0.0000



Number 1: total moment 0.3 μB per formula unit. Number 2: total moment 0.0 μB per formula unit. Number 3: total moment 0.0 μB per formula unit. Number 4: total moment 0.0 μB per formula unit. Number 5: total moment 0.5 μB per formula unit. Number 6: total moment 4.5 μB per formula unit. Number 7: total moment 4.5 μB per formula unit. Number 8: total moment 0.0 μB per formula unit. Number 9: total moment 0.0 μB per formula unit. Number 10: total moment 1.0 μB per formula unit. Number 11: total moment 5.6 μB per formula unit. Number 12: total moment 0.0 μB per formula unit.